First-principles (GGA-PBE) data for Tm4PbS3 after structural relaxation, as listed in the Alexandria database.

As for the formation energy from raw total energies: -1477 meV/atom. Its crystal system is orthorhombic. The value obtained for the size of the total moment is 0.0 μB per cell.

abc: 3.9053 5.6949 8.1577
angles: 90.00 90.00 90.00
Closest atoms and distances in Å follow each position.
Fractional coordinates of all 8 atoms:
Tm  0.0000  0.5000  0.0000  2 Pb 2.85, 4 S 2.87
S  0.5000  0.5000  0.2583  6 Tm 2.78-2.87
Tm  0.5000  0.0000  0.7249  4 S 2.68-2.85, 2 Pb 2.97
Tm  0.5000  0.0000  0.2751  4 S 2.68-2.85, 2 Pb 2.97
S  0.0000  0.0000  0.5000  6 Tm 2.68-2.85
Pb  0.0000  0.0000  0.0000  6 Tm 2.85-2.97
Tm  0.0000  0.5000  0.5000  6 S 2.78-2.85
S  0.5000  0.5000  0.7417  6 Tm 2.78-2.87

First-principles (GGA-PBE) data for LaB2Pt7 after structural relaxation, as listed in the Alexandria database.

Its crystal system is orthorhombic. The calculation puts the formation energy at -0.28 eV per atom. The value obtained for the size of the total moment is 0.0 μB per cell.

abc: 4.2391 6.7730 6.7730
angles: 117.68 90.00 90.00
Closest atoms and distances in Å follow each position.
Fractional coordinates of all 10 atoms:
B  0.5000  0.6876  0.3124  5 Pt 2.17-2.19
Pt  0.5000  0.5000  0.5000  2 B 2.17
Pt  0.5000  0.9394  0.6631  1 B 2.19
Pt  0.5000  0.0606  0.3369  1 B 2.19
Pt  0.5000  0.6631  0.9394  1 B 2.19
La  0.0000  0.0000  0.0000  10 Pt 3.00-3.08
Pt  0.0000  0.2660  0.7340  2 B 2.19
Pt  0.5000  0.3369  0.0606  1 B 2.19
Pt  0.0000  0.7340  0.2660  2 B 2.19
B  0.5000  0.3124  0.6876  5 Pt 2.17-2.19

First-principles (GGA-PBE) data for K3Cd3Pb8 after structural relaxation, as listed in the Alexandria database.

Its crystal system is orthorhombic. The calculation puts the formation energy at -0.11 eV per atom. The value obtained for the size of the total moment is 0.0 μB per cell.

abc: 5.1743 9.7981 9.7981
angles: 76.25 74.69 74.69
Closest atoms and distances in Å follow each position.
Fractional coordinates of all 14 atoms:
Pb  0.1213  0.2308  0.5266  1 Cd 3.19, 4 Pb 3.20-3.52
Pb  0.8787  0.7692  0.4734  1 Cd 3.19, 4 Pb 3.20-3.52
Cd  0.0000  0.1327  0.8673  3 Cd 3.04-3.21, 2 Pb 3.19
Pb  0.1213  0.5266  0.2308  1 Cd 3.19, 4 Pb 3.20-3.52
K  0.2248  0.7752  0.7752  2 Cd 3.64, 10 Pb 3.71-4.04, 1 K 4.00
Pb  0.8787  0.4734  0.7692  1 Cd 3.19, 4 Pb 3.20-3.52
Pb  0.6511  0.0497  0.6481  3 Pb 3.20-3.37, 3 Cd 3.27-3.49
Cd  0.5000  0.0000  0.0000  4 Cd 3.04, 4 Pb 3.27
Pb  0.3489  0.9503  0.3519  3 Pb 3.20-3.37, 3 Cd 3.27-3.49
Pb  0.3489  0.3519  0.9503  3 Pb 3.20-3.37, 3 Cd 3.27-3.49
K  0.5000  0.5000  0.5000  8 Pb 3.61, 2 K 4.00
K  0.7752  0.2248  0.2248  2 Cd 3.64, 10 Pb 3.71-4.04, 1 K 4.00
Cd  0.0000  0.8673  0.1327  3 Cd 3.04-3.21, 2 Pb 3.19
Pb  0.6511  0.6481  0.0497  3 Pb 3.20-3.37, 3 Cd 3.27-3.49

First-principles (GGA-PBE) data for PmHoAgRh after structural relaxation, as listed in the Alexandria database.

Its crystal system is tetragonal. The energy above the most stable polymorph in this dataset is 0 meV/atom. The calculation puts the formation energy at -0.55 eV per atom. The value obtained for the size of the total moment is 0.0 μB per cell.

abc: 3.5401 3.5401 7.2720
angles: 90.00 90.00 90.00
Closest atoms and distances in Å follow each position.
Fractional coordinates of all 4 atoms:
Ag  0.5000  0.5000  0.1222  4 Ho 3.11, 4 Pm 3.26, 1 Rh 3.43
Ho  0.0000  0.0000  0.3768  4 Rh 2.96, 4 Ag 3.11
Pm  0.0000  0.0000  0.8350  4 Rh 3.06, 4 Ag 3.26, 1 Ho 3.33
Rh  0.5000  0.5000  0.5940  4 Ho 2.96, 4 Pm 3.06

First-principles (GGA-PBE) data for MoH2Cl6 after structural relaxation, as listed in the Alexandria database.

Its crystal system is monoclinic. The value obtained for the size of the total moment is 4.0 μB per cell. The total energy comes out at -3.826 eV per atom.

abc: 7.3257 5.6773 12.7437
angles: 73.32 90.00 90.00
Closest atoms and distances in Å follow each position.
Fractional coordinates of all 18 atoms:
Cl  0.7651  0.3688  0.4096  1 Mo 2.31
H  0.3666  0.0914  0.8882  1 Cl 1.45
Mo  0.0000  0.5000  0.5000  6 Cl 2.31-2.49
Cl  0.9658  0.1372  0.6558  1 H 1.72
Cl  0.0342  0.8628  0.3442  1 H 1.72
Cl  0.2651  0.6312  0.0904  1 Mo 2.31
Cl  0.5342  0.1372  0.1558  1 H 1.72
Cl  0.2690  0.2850  0.9174  1 H 1.45
Cl  0.4658  0.8628  0.8442  1 H 1.72
Cl  0.7310  0.7150  0.0826  1 H 1.45
H  0.1334  0.0914  0.3882  1 Cl 1.45
H  0.8666  0.9086  0.6118  1 Cl 1.45
Cl  0.2349  0.6312  0.5904  1 Mo 2.31
Mo  0.5000  0.5000  0.0000  6 Cl 2.31-2.49
Cl  0.7349  0.3688  0.9096  1 Mo 2.31
Cl  0.2310  0.2850  0.4174  1 H 1.45
Cl  0.7690  0.7150  0.5826  1 H 1.45
H  0.6334  0.9086  0.1118  1 Cl 1.45

First-principles (GGA-PBE) data for ScZnRe after structural relaxation, as listed in the Alexandria database.

Its crystal system is cubic. The energy above the most stable polymorph in this dataset is 1056 meV/atom. The calculation puts the formation energy at 1.10 eV per atom. The value obtained for the size of the total moment is 1.7 μB per cell.

abc: 4.4387 4.4387 4.4387
angles: 60.00 60.00 60.00
Closest atoms and distances in Å follow each position.
Fractional coordinates of all 3 atoms:
Re  0.5000  0.5000  0.5000  4 Sc 2.72
Sc  0.7500  0.7500  0.7500  4 Zn 2.72, 4 Re 2.72
Zn  0.0000  0.0000  0.0000  4 Sc 2.72

First-principles (GGA-PBE) data for RbMg2Tl4Cd after structural relaxation, as listed in the Alexandria database.

Its crystal system is trigonal. The calculation puts the formation energy at -0.03 eV per atom. The value obtained for the size of the total moment is 0.0 μB per cell.

abc: 5.1467 5.1467 11.4526
angles: 77.01 77.01 60.00
Closest atoms and distances in Å follow each position.
Fractional coordinates of all 8 atoms:
Tl  0.8734  0.8734  0.3799  4 Mg 3.05-3.36, 3 Cd 3.25
Cd  0.5000  0.5000  0.5000  8 Tl 3.19-3.25
Tl  0.1266  0.1266  0.6201  4 Mg 3.05-3.36, 3 Cd 3.25
Rb  0.0000  0.0000  0.0000  8 Tl 3.78-4.20
Tl  0.5963  0.5963  0.2112  3 Mg 3.19, 1 Cd 3.19, 3 Tl 3.51
Mg  0.7720  0.7720  0.6841  7 Tl 3.05-3.36
Tl  0.4037  0.4037  0.7888  3 Mg 3.19, 1 Cd 3.19, 3 Tl 3.51
Mg  0.2280  0.2280  0.3159  7 Tl 3.05-3.36

First-principles (GGA-PBE) data for Ac8Sn3Pt after structural relaxation, as listed in the Alexandria database.

Its crystal system is tetragonal. The calculation puts the formation energy at -0.45 eV per atom. The value obtained for the size of the total moment is 0.0 μB per cell.

abc: 7.8278 7.8278 9.6239
angles: 114.00 114.00 90.00
Closest atoms and distances in Å follow each position.
Fractional coordinates of all 12 atoms:
Sn  0.7500  0.2500  0.5000  8 Ac 3.46
Pt  0.0000  0.0000  0.0000  8 Ac 3.24
Sn  0.5000  0.5000  0.0000  8 Ac 3.44
Ac  0.8792  0.8792  0.2370  1 Pt 3.24, 3 Sn 3.44-3.46
Ac  0.3578  0.8792  0.2370  1 Pt 3.24, 3 Sn 3.44-3.46
Sn  0.2500  0.7500  0.5000  8 Ac 3.46
Ac  0.1208  0.6422  0.7630  1 Pt 3.24, 3 Sn 3.44-3.46
Ac  0.1208  0.1208  0.7630  1 Pt 3.24, 3 Sn 3.44-3.46
Ac  0.6422  0.1208  0.7630  1 Pt 3.24, 3 Sn 3.44-3.46
Ac  0.6422  0.6422  0.7630  1 Pt 3.24, 3 Sn 3.44-3.46
Ac  0.3578  0.3578  0.2370  1 Pt 3.24, 3 Sn 3.44-3.46
Ac  0.8792  0.3578  0.2370  1 Pt 3.24, 3 Sn 3.44-3.46

First-principles (GGA-PBE) data for AlTcSn3 after structural relaxation, as listed in the Alexandria database.

Its crystal system is cubic. The energy above the most stable polymorph in this dataset is 737 meV/atom. The calculation puts the formation energy at 1.15 eV per atom. The value obtained for the size of the total moment is 3.6 μB per cell.

abc: 5.2021 5.2021 5.2021
angles: 90.00 90.00 90.00
Closest atoms and distances in Å follow each position.
Fractional coordinates of all 5 atoms:
Sn  0.0000  0.0000  0.5000  2 Al 2.60
Sn  0.0000  0.5000  0.0000  2 Al 2.60
Sn  0.5000  0.0000  0.0000  2 Al 2.60
Al  0.0000  0.0000  0.0000  6 Sn 2.60
Tc  0.5000  0.5000  0.5000  12 Sn 3.68

First-principles (GGA-PBE) data for CoIr2Au after structural relaxation, as listed in the Alexandria database.

Its crystal system is trigonal. The energy above the most stable polymorph in this dataset is 25 meV/atom. The calculation puts the formation energy at 0.20 eV per atom. The value obtained for the size of the total moment is 2.8 μB per cell.

abc: 9.1150 9.1150 9.1150
angles: 17.35 17.35 17.35
Closest atoms and distances in Å follow each position.
Fractional coordinates of all 4 atoms:
Ir  0.5085  0.5085  0.5085  3 Co 2.56, 6 Ir 2.75
Ir  0.9915  0.9915  0.9915  3 Co 2.56, 6 Ir 2.75
Au  0.7500  0.7500  0.7500  6 Au 2.75, 6 Ir 2.94
Co  0.2500  0.2500  0.2500  6 Ir 2.56, 6 Co 2.75

Repeat the first record exactly.
First-principles (GGA-PBE) data for Tm4PbS3 after structural relaxation, as listed in the Alexandria database.

As for the formation energy from raw total energies: -1477 meV/atom. Its crystal system is orthorhombic. The value obtained for the size of the total moment is 0.0 μB per cell.

abc: 3.9053 5.6949 8.1577
angles: 90.00 90.00 90.00
Closest atoms and distances in Å follow each position.
Fractional coordinates of all 8 atoms:
Tm  0.0000  0.5000  0.0000  2 Pb 2.85, 4 S 2.87
S  0.5000  0.5000  0.2583  6 Tm 2.78-2.87
Tm  0.5000  0.0000  0.7249  4 S 2.68-2.85, 2 Pb 2.97
Tm  0.5000  0.0000  0.2751  4 S 2.68-2.85, 2 Pb 2.97
S  0.0000  0.0000  0.5000  6 Tm 2.68-2.85
Pb  0.0000  0.0000  0.0000  6 Tm 2.85-2.97
Tm  0.0000  0.5000  0.5000  6 S 2.78-2.85
S  0.5000  0.5000  0.7417  6 Tm 2.78-2.87

Q: What is the formula in the seventh record?
A: RbMg2Tl4Cd

Q: What is the size of the total moment in the third record?
A: 0.0 μB per cell

Q: Look up the size of the total moment of the fifth one.
A: 4.0 μB per cell